No. 1
The following is a DFT calculation (GGA-PBE) of crystalline AcF3 at its relaxed geometry.

Summary:
E above lowest polymorph: 0.141 eV per atom
Formation energy from raw total energies: -4094 meV per atom

Cell: 4.270 4.270 4.270 Å, 60.00 60.00 60.00°
Positions (direct):
Ac 0.000 0.000 0.000
F 0.250 0.250 0.250
F 0.500 0.500 0.500
F 0.750 0.750 0.750



No. 2
The following is a DFT calculation (GGA-PBE) of crystalline LiBiB at its relaxed geometry.

Summary:
ΔH_f (0 K): -0.10 eV/f.u.
E above lowest polymorph: 0.017 eV per atom

Cell: 3.176 3.620 9.476 Å, 90.00 99.17 90.00°
Positions (direct):
Li 0.193 0.000 0.380
Li 0.807 0.000 0.620
Bi 0.402 0.500 0.817
Bi 0.598 0.500 0.183
B 0.263 0.500 0.528
B 0.737 0.500 0.472



No. 3
The following is a DFT calculation (GGA-PBE) of crystalline PmMgAgSb at its relaxed geometry.

Summary:
Formation energy from raw total energies: -370 meV per atom

Cell: 5.193 5.193 5.193 Å, 60.00 60.00 60.00°
Positions (direct):
Pm 0.000 0.000 0.000
Mg 0.500 0.500 0.500
Ag 0.250 0.250 0.250
Sb 0.750 0.750 0.750



No. 4
The following is a DFT calculation (GGA-PBE) of crystalline K4SmTh3Se8 at its relaxed geometry.

Summary:
Formation energy from raw total energies: -1593 meV per atom

Cell: 9.242 9.242 9.242 Å, 54.74 54.74 54.74°
Positions (direct):
K 0.000 0.000 0.000
K 0.000 0.500 0.500
K 0.500 0.000 0.500
K 0.500 0.500 0.000
Sm 0.500 0.500 0.500
Th 0.000 0.000 0.500
Th 0.000 0.500 0.000
Th 0.500 0.000 0.000
Se 0.238 0.739 0.739
Se 0.239 0.239 0.239
Se 0.261 0.261 0.762
Se 0.261 0.762 0.261
Se 0.739 0.238 0.739
Se 0.739 0.739 0.238
Se 0.761 0.761 0.761
Se 0.762 0.261 0.261



No. 5
The following is a DFT calculation (GGA-PBE) of crystalline KAgTe2 at its relaxed geometry.

Summary:
Formation energy from raw total energies: -489 meV per atom

Cell: 4.454 4.454 13.102 Å, 90.00 90.00 90.00°
Positions (direct):
K 0.250 0.250 0.233
K 0.750 0.750 0.767
Ag 0.250 0.750 0.500
Ag 0.750 0.250 0.500
Te 0.250 0.250 0.639
Te 0.250 0.750 0.000
Te 0.750 0.250 0.000
Te 0.750 0.750 0.361



No. 6
The following is a DFT calculation (GGA-PBE) of crystalline SrYCu2Ge2 at its relaxed geometry.

Summary:
ΔH_f (0 K): -3.39 eV/f.u.

Cell: 4.335 4.335 7.854 Å, 90.00 90.00 120.00°
Positions (direct):
Sr 0.000 0.000 0.000
Y 0.000 0.000 0.500
Cu 0.333 0.667 0.708
Cu 0.667 0.333 0.292
Ge 0.333 0.667 0.285
Ge 0.667 0.333 0.715



No. 7
The following is a DFT calculation (GGA-PBE) of crystalline Sc2PbBr at its relaxed geometry.

Summary:
E above lowest polymorph: 0.000 eV per atom
Formation energy from raw total energies: -607 meV per atom

Cell: 5.155 5.785 5.785 Å, 34.83 90.00 90.00°
Positions (direct):
Sc 0.000 0.000 0.000
Sc 0.500 0.322 0.322
Pb 0.000 0.735 0.735
Br 0.500 0.021 0.021



No. 8
The following is a DFT calculation (GGA-PBE) of crystalline Pm3ScP4 at its relaxed geometry.

Summary:
ΔH_f (0 K): -12.02 eV/f.u.

Cell: 7.001 7.001 4.053 Å, 90.00 90.00 109.48°
Positions (direct):
Pm 0.000 0.000 0.000
Pm 0.000 0.500 0.500
Pm 0.500 0.000 0.500
Sc 0.500 0.500 0.000
P 0.257 0.743 0.000
P 0.264 0.264 0.500
P 0.736 0.736 0.500
P 0.743 0.257 0.000



No. 9
The following is a DFT calculation (GGA-PBE) of crystalline SbTeOs2 at its relaxed geometry.

Summary:
E above lowest polymorph: 0.312 eV per atom
Formation energy from raw total energies: 704 meV per atom

Cell: 4.513 4.513 5.539 Å, 101.94 101.94 41.63°
Positions (direct):
Sb 0.000 0.000 0.000
Te 0.500 0.500 0.500
Os 0.250 0.250 0.751
Os 0.750 0.750 0.249



No. 10
The following is a DFT calculation (GGA-PBE) of crystalline TaAs4 at its relaxed geometry.

Summary:
ΔH_f (0 K): 0.93 eV/f.u.
E above lowest polymorph: 0.000 eV per atom

Cell: 5.387 5.387 5.387 Å, 96.14 96.14 141.81°
Positions (direct):
Ta 0.000 0.000 0.000
As 0.209 0.386 0.595
As 0.386 0.791 0.177
As 0.614 0.209 0.823
As 0.791 0.614 0.405



No. 11
The following is a DFT calculation (GGA-PBE) of crystalline AcCdPd6 at its relaxed geometry.

Summary:
ΔH_f (0 K): -2.48 eV/f.u.

Cell: 5.312 5.312 5.312 Å, 90.00 90.00 90.00°
Positions (direct):
Ac 0.000 0.000 0.000
Cd 0.500 0.500 0.500
Pd 0.000 0.500 0.256
Pd 0.000 0.500 0.744
Pd 0.256 0.000 0.500
Pd 0.500 0.256 0.000
Pd 0.500 0.744 0.000
Pd 0.744 0.000 0.500



No. 12
The following is a DFT calculation (GGA-PBE) of crystalline ScZnAg2 at its relaxed geometry.

Summary:
ΔH_f (0 K): -0.68 eV/f.u.

Cell: 3.381 3.381 6.387 Å, 90.00 90.00 90.00°
Positions (direct):
Sc 0.000 0.000 0.000
Zn 0.500 0.500 0.262
Ag 0.000 0.000 0.478
Ag 0.500 0.500 0.738



no.,total DFT energy (no corrections) (eV/atom),calculated volume (A^3/atom)
1,-6.52,13.76
2,-4.19,17.93
3,-3.70,24.75
4,-5.30,30.62
5,-3.05,32.49
6,-4.83,21.30
7,-5.12,24.64
8,-6.78,23.41
9,-6.73,18.28
10,-5.90,18.26
11,-4.83,18.73
12,-3.50,18.25